Record 1
# LaNbF3 | Alexandria via LeMat-Bulk | PBE-GGA | relaxed
# energy relative to the elements, uncorrected = -9.807 eV per formula unit
data_LaNbF3
_cell_length_a 4.743
_cell_length_b 4.743
_cell_length_c 4.743
_cell_angle_alpha 90.00
_cell_angle_beta 90.00
_cell_angle_gamma 90.00
_space_group_name_H-M_alt 'P m -3 m'
_space_group_IT_number 221
_space_group_name_Hall '-P 4 2 3'
loop_
_atom_site_label
_atom_site_type_symbol
_atom_site_fract_x
_atom_site_fract_y
_atom_site_fract_z
La1 La 0.000 0.000 0.000
Nb1 Nb 0.500 0.500 0.500
F1 F 0.000 0.000 0.500

Record 2
# LaNbO2F | Alexandria via LeMat-Bulk | PBE-GGA | relaxed
# energy relative to the elements, uncorrected = -11.599 eV per formula unit
data_LaNbO2F
_cell_length_a 4.120
_cell_length_b 4.120
_cell_length_c 4.265
_cell_angle_alpha 90.00
_cell_angle_beta 90.00
_cell_angle_gamma 90.00
_space_group_name_H-M_alt 'P 4/m m m'
_space_group_IT_number 123
_space_group_name_Hall '-P 4 2'
loop_
_atom_site_label
_atom_site_type_symbol
_atom_site_fract_x
_atom_site_fract_y
_atom_site_fract_z
La1 La 0.000 0.000 0.000
Nb1 Nb 0.500 0.500 0.500
O1 O 0.000 0.500 0.500
F1 F 0.500 0.500 0.000

Record 3
# LaNbO2F | Alexandria via LeMat-Bulk | PBE-GGA | relaxed
# energy relative to the elements, uncorrected = -6.950 eV per formula unit
data_LaNbO2F
_cell_length_a 4.671
_cell_length_b 4.671
_cell_length_c 4.478
_cell_angle_alpha 90.00
_cell_angle_beta 90.00
_cell_angle_gamma 90.00
_space_group_name_H-M_alt 'P 4/m m m'
_space_group_IT_number 123
_space_group_name_Hall '-P 4 2'
loop_
_atom_site_label
_atom_site_type_symbol
_atom_site_fract_x
_atom_site_fract_y
_atom_site_fract_z
La1 La 0.000 0.000 0.000
Nb1 Nb 0.500 0.500 0.500
O1 O 0.000 0.500 0.000
F1 F 0.000 0.000 0.500

Record 4
# RbLaTiNbO6F | Alexandria via LeMat-Bulk | PBE-GGA | relaxed
# energy relative to the elements, uncorrected = -31.792 eV per formula unit
data_RbLaTiNbO6F
_cell_length_a 3.865
_cell_length_b 3.909
_cell_length_c 11.324
_cell_angle_alpha 90.00
_cell_angle_beta 90.00
_cell_angle_gamma 90.00
_space_group_name_H-M_alt 'P m m 2'
_space_group_IT_number 25
_space_group_name_Hall 'P 2 -2'
loop_
_atom_site_label
_atom_site_type_symbol
_atom_site_fract_x
_atom_site_fract_y
_atom_site_fract_z
Rb1 Rb 0.000 0.000 0.000
La1 La 0.000 0.000 0.483
Ti1 Ti 0.500 0.500 0.278
Nb1 Nb 0.500 0.500 0.689
O1 O 0.000 0.500 0.316
O2 O 0.000 0.500 0.647
O3 O 0.500 0.000 0.646
O4 O 0.500 0.500 0.127
O5 O 0.500 0.500 0.479
O6 O 0.500 0.500 0.848
F1 F 0.500 0.000 0.311

Record 5
# La3NbSe2O4F2 | Alexandria via LeMat-Bulk | PBE-GGA | relaxed
# energy relative to the elements, uncorrected = -36.775 eV per formula unit
data_La3NbSe2O4F2
_cell_length_a 11.416
_cell_length_b 4.029
_cell_length_c 18.276
_cell_angle_alpha 90.00
_cell_angle_beta 90.00
_cell_angle_gamma 90.00
_space_group_name_H-M_alt 'P n m a'
_space_group_IT_number 62
_space_group_name_Hall '-P 2ac 2n'
loop_
_atom_site_label
_atom_site_type_symbol
_atom_site_fract_x
_atom_site_fract_y
_atom_site_fract_z
La1 La 0.005 0.250 0.107
La2 La 0.065 0.250 0.698
La3 La 0.207 0.750 0.468
Nb1 Nb 0.193 0.250 0.305
Se1 Se 0.007 0.250 0.421
Se2 Se 0.216 0.750 0.091
O1 O 0.053 0.250 0.246
O2 O 0.171 0.750 0.321
O3 O 0.185 0.750 0.738
O4 O 0.217 0.750 0.901
F1 F 0.059 0.250 0.831
F2 F 0.069 0.250 0.974

Record 6
# LaNb2OsF | Alexandria via LeMat-Bulk | PBE-GGA | relaxed
# energy relative to the elements, uncorrected = 10.413 eV per formula unit
data_LaNb2OsF
_cell_length_a 5.001
_cell_length_b 5.001
_cell_length_c 4.717
_cell_angle_alpha 90.00
_cell_angle_beta 90.00
_cell_angle_gamma 90.00
_space_group_name_H-M_alt 'P 4/m m m'
_space_group_IT_number 123
_space_group_name_Hall '-P 4 2'
loop_
_atom_site_label
_atom_site_type_symbol
_atom_site_fract_x
_atom_site_fract_y
_atom_site_fract_z
La1 La 0.000 0.000 0.000
Nb1 Nb 0.000 0.500 0.000
Os1 Os 0.000 0.000 0.500
F1 F 0.500 0.500 0.500

Record 7
# LaNbPF2 | Alexandria via LeMat-Bulk | PBE-GGA | relaxed
# energy relative to the elements, uncorrected = -7.151 eV per formula unit
data_LaNbPF2
_cell_length_a 4.319
_cell_length_b 4.319
_cell_length_c 6.383
_cell_angle_alpha 90.00
_cell_angle_beta 90.00
_cell_angle_gamma 90.00
_space_group_name_H-M_alt 'P 4/m m m'
_space_group_IT_number 123
_space_group_name_Hall '-P 4 2'
loop_
_atom_site_label
_atom_site_type_symbol
_atom_site_fract_x
_atom_site_fract_y
_atom_site_fract_z
La1 La 0.000 0.000 0.000
Nb1 Nb 0.500 0.500 0.500
P1 P 0.000 0.000 0.500
F1 F 0.000 0.500 0.000

Record 8
# LaNb2SF | Alexandria via LeMat-Bulk | PBE-GGA | relaxed
# energy relative to the elements, uncorrected = -2.669 eV per formula unit
data_LaNb2SF
_cell_length_a 4.209
_cell_length_b 4.209
_cell_length_c 5.651
_cell_angle_alpha 90.00
_cell_angle_beta 90.00
_cell_angle_gamma 90.00
_space_group_name_H-M_alt 'P 4/m m m'
_space_group_IT_number 123
_space_group_name_Hall '-P 4 2'
loop_
_atom_site_label
_atom_site_type_symbol
_atom_site_fract_x
_atom_site_fract_y
_atom_site_fract_z
La1 La 0.000 0.000 0.000
Nb1 Nb 0.000 0.500 0.500
S1 S 0.500 0.500 0.000
F1 F 0.500 0.500 0.500

Record 9
# LaNbTe2F | Alexandria via LeMat-Bulk | PBE-GGA | relaxed
# energy relative to the elements, uncorrected = -6.203 eV per formula unit
data_LaNbTe2F
_cell_length_a 5.618
_cell_length_b 5.618
_cell_length_c 4.176
_cell_angle_alpha 90.00
_cell_angle_beta 90.00
_cell_angle_gamma 90.00
_space_group_name_H-M_alt 'P 4/m m m'
_space_group_IT_number 123
_space_group_name_Hall '-P 4 2'
loop_
_atom_site_label
_atom_site_type_symbol
_atom_site_fract_x
_atom_site_fract_y
_atom_site_fract_z
La1 La 0.000 0.000 0.000
Nb1 Nb 0.500 0.500 0.500
Te1 Te 0.000 0.500 0.500
F1 F 0.500 0.500 0.000

Record 10
# LaNb2TlF | Alexandria via LeMat-Bulk | PBE-GGA | relaxed
# energy relative to the elements, uncorrected = -0.738 eV per formula unit
data_LaNb2TlF
_cell_length_a 4.546
_cell_length_b 4.546
_cell_length_c 4.956
_cell_angle_alpha 90.00
_cell_angle_beta 90.00
_cell_angle_gamma 90.00
_space_group_name_H-M_alt 'P 4/m m m'
_space_group_IT_number 123
_space_group_name_Hall '-P 4 2'
loop_
_atom_site_label
_atom_site_type_symbol
_atom_site_fract_x
_atom_site_fract_y
_atom_site_fract_z
La1 La 0.000 0.000 0.000
Nb1 Nb 0.000 0.500 0.500
Tl1 Tl 0.500 0.500 0.000
F1 F 0.000 0.000 0.500

Record 11
# LaNb2TlF | Alexandria via LeMat-Bulk | PBE-GGA | relaxed
# energy relative to the elements, uncorrected = 2.951 eV per formula unit
data_LaNb2TlF
_cell_length_a 5.349
_cell_length_b 5.349
_cell_length_c 4.424
_cell_angle_alpha 90.00
_cell_angle_beta 90.00
_cell_angle_gamma 90.00
_space_group_name_H-M_alt 'P 4/m m m'
_space_group_IT_number 123
_space_group_name_Hall '-P 4 2'
loop_
_atom_site_label
_atom_site_type_symbol
_atom_site_fract_x
_atom_site_fract_y
_atom_site_fract_z
La1 La 0.000 0.000 0.000
Nb1 Nb 0.000 0.500 0.000
Tl1 Tl 0.500 0.500 0.500
F1 F 0.000 0.000 0.500

Record 12
# LaZrNbF2 | Alexandria via LeMat-Bulk | PBE-GGA | relaxed
# energy relative to the elements, uncorrected = -5.260 eV per formula unit
data_LaZrNbF2
_cell_length_a 4.325
_cell_length_b 4.325
_cell_length_c 7.583
_cell_angle_alpha 90.00
_cell_angle_beta 90.00
_cell_angle_gamma 90.00
_space_group_name_H-M_alt 'P 4/m m m'
_space_group_IT_number 123
_space_group_name_Hall '-P 4 2'
loop_
_atom_site_label
_atom_site_type_symbol
_atom_site_fract_x
_atom_site_fract_y
_atom_site_fract_z
La1 La 0.000 0.000 0.000
Zr1 Zr 0.000 0.000 0.500
Nb1 Nb 0.500 0.500 0.500
F1 F 0.000 0.500 0.000